An optimized crystal structure of CuNiSeN2. Source: Alexandria, functional PBEsol.

Output
Magnetic moment: 1.5 μB per formula unit
Space group: P4/mmm (123)
Formation energy without anion corrections: 5.594 eV/f.u.

abc: 3.533 3.533 5.267
angles: 90.00 90.00 90.00
Sites, in units of the cell vectors:
Cu 0.000 0.000 0.000
Ni 0.500 0.500 0.500
Se 0.500 0.500 0.000
N 0.000 0.500 0.500
N 0.500 0.000 0.500



An optimized crystal structure of PaSnAu2. Source: Alexandria, functional PBEsol.

Output
Energy of formation: -0.42 eV per atom
Magnetic moment: 0.0 μB per formula unit
Space group: Fm-3m (225)

abc: 4.916 4.916 4.916
angles: 60.00 60.00 60.00
Sites, in units of the cell vectors:
Pa 0.000 0.000 0.000
Sn 0.500 0.500 0.500
Au 0.250 0.250 0.250
Au 0.750 0.750 0.750



An optimized crystal structure of KTaCr. Source: Alexandria, functional PBEsol.

Output
Energy of formation: 1.07 eV per atom
Magnetic moment: 0.0 μB per formula unit
Space group: I4mm (107)

abc: 7.193 7.193 7.193
angles: 154.48 154.48 36.41
Sites, in units of the cell vectors:
K 0.000 0.000 0.000
Ta 0.727 0.727 0.000
Cr 0.303 0.303 0.000



- Which of these has the highest magnetic moment?
  CuNiSeN2



- What is the magnetic moment in the second record?
  0.0 μB per formula unit



- magnetic moment of number 2 (PaSnAu2)?
  0.0 μB per formula unit